No. 1
Computed, not measured: a relaxed structure of KLiCoBr4 at the PBE level of DFT.

The space group is P2_1/m (No. 11) and the conventional cell measures 6.418, 8.729 and 8.745 Å, with angles of 90.00, 103.29 and 90.00 degrees. The asymmetric unit holds K at (0.189, 0.250, 0.100), Li at (0.289, 0.250, 0.681), Co at (0.213, 0.750, 0.297), Br at (0.035, 0.039, 0.738), Br at (0.387, 0.750, 0.079) and Br at (0.497, 0.750, 0.527).

For the uncorrected formation energy, the calculation gives -1.0452 eV/atom.

=====

No. 2
Computed, not measured: a relaxed structure of Ba3LiAl2S6 at the PBE level of DFT.

The space group is P-3m1 (No. 164) and the conventional cell measures 7.1741, 7.1741 and 7.9182 Å, with angles of 90.00, 90.00 and 120.00 degrees. The asymmetric unit holds Ba at (0.0000, 0.0000, 0.0000), Ba at (0.3333, 0.6667, 0.6371), Li at (0.0000, 0.0000, 0.5000), Al at (0.3333, 0.6667, 0.2084) and S at (0.1665, 0.3331, 0.2968).

For the uncorrected formation energy, the calculation gives -1.3748 eV/atom.

=====

No. 3
Computed, not measured: a relaxed structure of HfUCo2 at the PBE level of DFT.

The space group is P4/mmm (No. 123) and the conventional cell measures 3.071, 3.071 and 6.823 Å, with angles of 90.00, 90.00 and 90.00 degrees. The asymmetric unit holds Hf at (0.000, 0.000, 0.000), U at (0.000, 0.000, 0.500) and Co at (0.500, 0.500, 0.231).

As for the formation enthalpy at 0 K: -163 meV/atom.

=====

| no. | V (Å³ per cell) |
| --- | --- |
| 1 | 477 |
| 2 | 353 |
| 3 | 64 |